(1)
ErGa2Sn2: relaxed, PBE.

```
ErGa2Sn2
1.0
-3.290 0.017 3.519
-0.209 -4.226 -0.174
9.760 -0.723 5.832
Er Sn Ga
2 4 4
direct
0.637 0.750 0.274
0.363 0.250 0.726
0.867 0.750 0.734
0.133 0.250 0.266
0.750 0.250 0.501
0.250 0.750 0.499
0.464 0.750 0.929
0.536 0.250 0.071
0.961 0.250 0.922
0.039 0.750 0.078
```

Properties
Energy relative to the elements ... -0.30 eV per atom
Volume ... 22.7 Å³/atom
Crystal system ... orthorhombic
Energy relative to the lowest polymorph listed for this composition ... 0.00 kJ per mole of atoms
Space-group type ... No. 63

(2)
ErGaSn2: relaxed, PBE.

```
ErGaSn2
1.0
-3.192 -3.579 -1.167
-1.150 -3.463 3.325
-7.210 1.975 3.227
Sn Er Ga
2 1 1
direct
0.116 0.116 0.653
0.884 0.884 0.347
0.500 0.500 0.500
0.000 0.000 0.000
```

Properties
Energy relative to the elements ... 0.29 eV per atom
Volume ... 40.2 Å³/atom
Crystal system ... trigonal
Energy relative to the lowest polymorph listed for this composition ... 69.54 kJ per mole of atoms
Space-group type ... No. 166

(3)
Er3GaSn2: relaxed, PBE.

```
Er3GaSn2
1.0
-3.863 1.503 1.447
2.535 -3.819 10.735
5.125 10.679 2.589
Sn Ga Er
8 4 12
direct
0.250 0.810 0.995
0.750 0.190 0.005
0.750 0.008 0.686
0.250 0.992 0.314
0.750 0.492 0.186
0.750 0.310 0.505
0.250 0.508 0.814
0.250 0.690 0.495
0.750 0.865 0.867
0.750 0.635 0.367
0.250 0.365 0.633
0.250 0.135 0.133
0.250 0.378 0.049
0.250 0.122 0.549
0.750 0.295 0.779
0.750 0.205 0.279
0.250 0.705 0.221
0.250 0.058 0.874
0.750 0.942 0.126
0.750 0.878 0.451
0.250 0.442 0.374
0.750 0.622 0.951
0.750 0.558 0.626
0.250 0.795 0.721
```

Properties
Energy relative to the elements ... -0.62 eV per atom
Volume ... 25.9 Å³/atom
Crystal system ... orthorhombic
Space-group type ... No. 62

(4)
Er3Ga2Sn: relaxed, PBE.

```
Er3Ga2Sn
1.0
4.430 0.000 0.000
0.000 11.174 0.000
0.000 0.000 11.941
Ga Er Sn
8 12 4
direct
0.250 0.697 0.498
0.250 0.534 0.817
0.750 0.034 0.683
0.750 0.303 0.502
0.250 0.803 0.998
0.250 0.966 0.317
0.750 0.197 0.002
0.750 0.466 0.183
0.250 0.086 0.858
0.750 0.176 0.295
0.250 0.824 0.705
0.750 0.914 0.142
0.750 0.324 0.795
0.750 0.586 0.642
0.750 0.884 0.455
0.250 0.116 0.545
0.250 0.384 0.045
0.250 0.676 0.205
0.750 0.616 0.955
0.250 0.414 0.358
0.750 0.617 0.374
0.750 0.883 0.874
0.250 0.383 0.626
0.250 0.117 0.126
```

Properties
Energy relative to the elements ... -0.53 eV per atom
Volume ... 24.6 Å³/atom
Crystal system ... orthorhombic
Space-group type ... No. 62

(5)
ErGaSn: relaxed, PBE.

```
ErGaSn
1.0
4.368 0.000 0.000
0.000 8.642 0.000
0.000 0.000 8.642
Sn Ga Er
4 4 4
direct
0.000 0.563 0.165
0.500 0.165 0.437
0.500 0.835 0.563
0.000 0.437 0.835
0.500 0.717 0.273
0.500 0.283 0.727
0.000 0.727 0.717
0.000 0.273 0.283
0.500 0.250 0.064
0.000 0.936 0.250
0.500 0.750 0.936
0.000 0.064 0.750
```

Properties
Energy relative to the elements ... -0.22 eV per atom
Volume ... 27.2 Å³/atom
Crystal system ... tetragonal
Space-group type ... No. 84

(6)
Er3GaSn: relaxed, PBE.

```
Er3GaSn
1.0
5.825 0.000 0.000
0.000 8.193 0.000
0.000 0.000 10.990
Ga Er Sn
4 12 4
direct
0.473 0.072 0.250
0.527 0.928 0.750
0.027 0.572 0.750
0.973 0.428 0.250
0.003 0.873 0.894
0.741 0.763 0.250
0.503 0.627 0.606
0.997 0.127 0.394
0.241 0.737 0.250
0.503 0.627 0.894
0.497 0.373 0.106
0.997 0.127 0.106
0.497 0.373 0.394
0.759 0.263 0.750
0.003 0.873 0.606
0.259 0.237 0.750
0.500 0.000 0.500
0.000 0.500 0.500
0.500 0.000 0.000
0.000 0.500 0.000
```

Properties
Energy relative to the elements ... -0.29 eV per atom
Volume ... 26.2 Å³/atom
Crystal system ... orthorhombic
Space-group type ... No. 62

(7)
Er3Ga2Sn2: relaxed, PBE.

```
Er3Ga2Sn2
1.0
4.259 0.000 -0.729
-0.164 4.116 -0.959
-0.507 0.099 9.835
Er Sn Ga
3 2 2
direct
0.000 0.000 0.000
0.182 0.682 0.365
0.818 0.318 0.635
0.348 0.848 0.696
0.652 0.152 0.304
0.436 0.436 0.872
0.564 0.564 0.128
```

Properties
Energy relative to the elements ... -0.61 eV per atom
Volume ... 24.5 Å³/atom
Crystal system ... orthorhombic
Space-group type ... No. 71

(8)
ErGaSn: relaxed, PBE.

```
ErGaSn
1.0
-1.641 1.145 3.675
-2.976 -3.219 -0.326
6.297 -3.205 3.810
Ga Sn Er
2 2 2
direct
0.750 0.553 0.106
0.250 0.447 0.894
0.750 0.256 0.512
0.250 0.744 0.488
0.750 0.910 0.820
0.250 0.090 0.180
```

Properties
Energy relative to the elements ... -0.49 eV per atom
Volume ... 23.7 Å³/atom
Crystal system ... orthorhombic
Space-group type ... No. 63